1.
Crystalline LaPr12Y6 at its relaxed geometry, computed with PBE.

Results
**Density of states at the Fermi level**: 2.04 states/eV/atom
**Calculated formation energy**: 179 meV per atom
**Polymorph energy (0 for the lowest one)**: 56 meV/atom

```
data_LaPr12Y6
_chemical_formula_sum 'La3 Pr36 Y18'
_space_group_name_H-M_alt 'R -3 m'
_space_group_IT_number 166
_space_group_name_Hall '-R 3 2"'
_cell_length_a 13.7316
_cell_length_b 13.7316
_cell_length_c 12.6658
_cell_angle_alpha 90.00
_cell_angle_beta 90.00
_cell_angle_gamma 120.00
loop_
_atom_site_label
_atom_site_type_symbol
_atom_site_fract_x
_atom_site_fract_y
_atom_site_fract_z
La1 La 0.0000 0.0000 0.0000
Pr1 Pr 0.0000 0.2566 0.5000
Pr2 Pr 0.0911 0.1821 0.2601
Y1 Y 0.0419 0.5210 0.6222
```



2.
Crystalline La6PrY4 at its relaxed geometry, computed with PBE.

Results
**Density of states at the Fermi level**: 1.63 states/eV/atom
**Calculated formation energy**: 146 meV per atom
**Polymorph energy (0 for the lowest one)**: 50 meV/atom

```
data_La6PrY4
_chemical_formula_sum 'La6 Pr1 Y4'
_space_group_name_H-M_alt 'P -6 m 2'
_space_group_IT_number 187
_space_group_name_Hall 'P -6 2'
_cell_length_a 11.2968
_cell_length_b 11.2968
_cell_length_c 3.6340
_cell_angle_alpha 90.00
_cell_angle_beta 90.00
_cell_angle_gamma 120.00
loop_
_atom_site_label
_atom_site_type_symbol
_atom_site_fract_x
_atom_site_fract_y
_atom_site_fract_z
La1 La 0.0297 0.5149 0.0000
La2 La 0.1413 0.2825 0.5000
Pr1 Pr 0.6667 0.3333 0.5000
Y1 Y 0.3333 0.6667 0.5000
Y2 Y 0.3437 0.1719 0.0000
```



3.
Crystalline La3PrY3 at its relaxed geometry, computed with PBE.

Results
**Density of states at the Fermi level**: 1.40 states/eV/atom
**Calculated formation energy**: 131 meV per atom
**Polymorph energy (0 for the lowest one)**: 0 meV/atom

```
data_La3PrY3
_chemical_formula_sum 'La18 Pr6 Y18'
_space_group_name_H-M_alt 'R -3'
_space_group_IT_number 148
_space_group_name_Hall '-R 3'
_cell_length_a 9.5666
_cell_length_b 9.5666
_cell_length_c 18.9658
_cell_angle_alpha 90.00
_cell_angle_beta 90.00
_cell_angle_gamma 120.00
loop_
_atom_site_label
_atom_site_type_symbol
_atom_site_fract_x
_atom_site_fract_y
_atom_site_fract_z
La1 La 0.0505 0.2411 0.0764
Pr1 Pr 0.0000 0.0000 0.4087
Y1 Y 0.0498 0.2360 0.2589
```



4.
Crystalline La3Pr4Y4 at its relaxed geometry, computed with PBE.

Results
**Density of states at the Fermi level**: 1.41 states/eV/atom
**Calculated formation energy**: 172 meV per atom
**Polymorph energy (0 for the lowest one)**: 28 meV/atom

```
data_La3Pr4Y4
_chemical_formula_sum 'La6 Pr8 Y8'
_space_group_name_H-M_alt 'I m m m'
_space_group_IT_number 71
_space_group_name_Hall '-I 2 2'
_cell_length_a 3.630
_cell_length_b 11.482
_cell_length_c 19.228
_cell_angle_alpha 90.00
_cell_angle_beta 90.00
_cell_angle_gamma 90.00
loop_
_atom_site_label
_atom_site_type_symbol
_atom_site_fract_x
_atom_site_fract_y
_atom_site_fract_z
La1 La 0.000 0.000 0.000
La2 La 0.000 0.500 0.101
Pr1 Pr 0.000 0.266 0.332
Y1 Y 0.000 0.000 0.234
Y2 Y 0.000 0.215 0.500
```



5.
Crystalline La5Pr3Y at its relaxed geometry, computed with PBE.

Results
**Density of states at the Fermi level**: 1.82 states/eV/atom
**Calculated formation energy**: 252 meV per atom

```
data_La5Pr3Y
_chemical_formula_sum 'La20 Pr12 Y4'
_space_group_name_H-M_alt 'I 4/m c m'
_space_group_IT_number 140
_space_group_name_Hall '-I 4 2c'
_cell_length_a 9.153
_cell_length_b 9.153
_cell_length_c 15.698
_cell_angle_alpha 90.00
_cell_angle_beta 90.00
_cell_angle_gamma 90.00
loop_
_atom_site_label
_atom_site_type_symbol
_atom_site_fract_x
_atom_site_fract_y
_atom_site_fract_z
La1 La 0.000 0.000 0.000
La2 La 0.210 0.290 0.139
Pr1 Pr 0.000 0.000 0.250
Pr2 Pr 0.116 0.384 0.500
Y1 Y 0.000 0.500 0.250
```



6.
Crystalline La3Pr2Y at its relaxed geometry, computed with PBE.

Results
**Density of states at the Fermi level**: 1.80 states/eV/atom
**Calculated formation energy**: 104 meV per atom
**Polymorph energy (0 for the lowest one)**: 0 meV/atom

```
data_La3Pr2Y
_chemical_formula_sum 'La12 Pr8 Y4'
_space_group_name_H-M_alt 'C 1 2/m 1'
_space_group_IT_number 12
_cell_length_a 18.491
_cell_length_b 3.590
_cell_length_c 14.641
_cell_angle_alpha 90.00
_cell_angle_beta 116.65
_cell_angle_gamma 90.00
loop_
_space_group_symop_operation_xyz
'x,y,z'
'-x,-y,-z'
'-x,y,-z'
'x,-y,z'
'x+1/2,y+1/2,z'
'-x+1/2,-y+1/2,-z'
'-x+1/2,y+1/2,-z'
'x+1/2,-y+1/2,z'
loop_
_atom_site_label
_atom_site_type_symbol
_atom_site_fract_x
_atom_site_fract_y
_atom_site_fract_z
La1 La 0.034 0.000 0.217
La2 La 0.098 0.500 0.032
La3 La 0.242 0.500 0.289
Pr1 Pr 0.156 0.500 0.470
Pr2 Pr 0.178 0.000 0.882
Y1 Y 0.064 0.500 0.640
```



7.
Crystalline La5Pr2Y12 at its relaxed geometry, computed with PBE.

Results
**Density of states at the Fermi level**: 1.56 states/eV/atom
**Calculated formation energy**: 103 meV per atom

```
data_La5Pr2Y12
_chemical_formula_sum 'La10 Pr4 Y24'
_space_group_name_H-M_alt 'C 1 2/m 1'
_space_group_IT_number 12
_cell_length_a 12.462
_cell_length_b 7.228
_cell_length_c 15.291
_cell_angle_alpha 90.00
_cell_angle_beta 108.21
_cell_angle_gamma 90.00
loop_
_space_group_symop_operation_xyz
'x,y,z'
'-x,-y,-z'
'-x,y,-z'
'x,-y,z'
'x+1/2,y+1/2,z'
'-x+1/2,-y+1/2,-z'
'-x+1/2,y+1/2,-z'
'x+1/2,-y+1/2,z'
loop_
_atom_site_label
_atom_site_type_symbol
_atom_site_fract_x
_atom_site_fract_y
_atom_site_fract_z
La1 La 0.000 0.000 0.000
La2 La 0.095 0.500 0.098
La3 La 0.249 0.500 0.499
Pr1 Pr 0.000 0.251 0.500
Y1 Y 0.086 0.246 0.288
Y2 Y 0.158 0.500 0.694
Y3 Y 0.159 0.000 0.698
Y4 Y 0.172 0.260 0.892
```



8.
Crystalline La3PrY3 at its relaxed geometry, computed with PBE.

Results
**Density of states at the Fermi level**: 1.44 states/eV/atom
**Calculated formation energy**: 224 meV per atom
**Polymorph energy (0 for the lowest one)**: 93 meV/atom

```
data_La3PrY3
_chemical_formula_sum 'La9 Pr3 Y9'
_space_group_name_H-M_alt 'R 3 m'
_space_group_IT_number 160
_space_group_name_Hall 'R 3 -2"'
_cell_length_a 10.8463
_cell_length_b 10.8463
_cell_length_c 7.2509
_cell_angle_alpha 90.00
_cell_angle_beta 90.00
_cell_angle_gamma 120.00
loop_
_atom_site_label
_atom_site_type_symbol
_atom_site_fract_x
_atom_site_fract_y
_atom_site_fract_z
La1 La 0.1886 0.3771 0.0000
Pr1 Pr 0.0000 0.0000 0.1588
Y1 Y 0.2127 0.4253 0.4664
```



9.
Crystalline La7Pr2Y3 at its relaxed geometry, computed with PBE.

Results
**Density of states at the Fermi level**: 1.53 states/eV/atom
**Calculated formation energy**: 53 meV per atom
**Polymorph energy (0 for the lowest one)**: 0 meV/atom

```
data_La7Pr2Y3
_chemical_formula_sum 'La7 Pr2 Y3'
_space_group_name_H-M_alt 'P 1 2/m 1'
_space_group_IT_number 10
_cell_length_a 6.603
_cell_length_b 3.619
_cell_length_c 17.966
_cell_angle_alpha 90.00
_cell_angle_beta 95.43
_cell_angle_gamma 90.00
loop_
_space_group_symop_operation_xyz
'x,y,z'
'-x,-y,-z'
'-x,y,-z'
'x,-y,z'
loop_
_atom_site_label
_atom_site_type_symbol
_atom_site_fract_x
_atom_site_fract_y
_atom_site_fract_z
La1 La 0.000 0.000 0.000
La2 La 0.228 0.500 0.170
La3 La 0.263 0.500 0.492
La4 La 0.279 0.000 0.834
Pr1 Pr 0.057 0.500 0.669
Y1 Y 0.457 0.000 0.338
Y2 Y 0.500 0.500 0.000
```



10.
Crystalline LaPrY2 at its relaxed geometry, computed with PBE.

Results
**Density of states at the Fermi level**: 1.66 states/eV/atom
**Calculated formation energy**: 22 meV per atom
**Polymorph energy (0 for the lowest one)**: 15 meV/atom

```
data_LaPrY2
_chemical_formula_sum 'La1 Pr1 Y2'
_space_group_name_H-M_alt 'P 4/m m m'
_space_group_IT_number 123
_space_group_name_Hall '-P 4 2'
_cell_length_a 3.688
_cell_length_b 3.688
_cell_length_c 10.122
_cell_angle_alpha 90.00
_cell_angle_beta 90.00
_cell_angle_gamma 90.00
loop_
_atom_site_label
_atom_site_type_symbol
_atom_site_fract_x
_atom_site_fract_y
_atom_site_fract_z
La1 La 0.000 0.000 0.000
Pr1 Pr 0.000 0.000 0.500
Y1 Y 0.500 0.500 0.251
```



11.
Crystalline La7Pr3Y2 at its relaxed geometry, computed with PBE.

Results
**Density of states at the Fermi level**: 1.58 states/eV/atom
**Calculated formation energy**: 63 meV per atom
**Polymorph energy (0 for the lowest one)**: 0 meV/atom

```
data_La7Pr3Y2
_chemical_formula_sum 'La7 Pr3 Y2'
_space_group_name_H-M_alt 'P 1 2/m 1'
_space_group_IT_number 10
_cell_length_a 6.628
_cell_length_b 3.613
_cell_length_c 18.109
_cell_angle_alpha 90.00
_cell_angle_beta 95.96
_cell_angle_gamma 90.00
loop_
_space_group_symop_operation_xyz
'x,y,z'
'-x,-y,-z'
'-x,y,-z'
'x,-y,z'
loop_
_atom_site_label
_atom_site_type_symbol
_atom_site_fract_x
_atom_site_fract_y
_atom_site_fract_z
La1 La 0.000 0.000 0.000
La2 La 0.222 0.500 0.171
La3 La 0.262 0.500 0.492
La4 La 0.271 0.000 0.832
Pr1 Pr 0.455 0.000 0.336
Pr2 Pr 0.500 0.500 0.000
Y1 Y 0.055 0.500 0.669
```



12.
Crystalline LaPr7Y4 at its relaxed geometry, computed with PBE.

Results
**Density of states at the Fermi level**: 1.54 states/eV/atom
**Calculated formation energy**: 2 meV per atom
**Polymorph energy (0 for the lowest one)**: 0 meV/atom

```
data_LaPr7Y4
_chemical_formula_sum 'La1 Pr7 Y4'
_space_group_name_H-M_alt 'P -1'
_space_group_IT_number 2
_cell_length_a 6.419
_cell_length_b 7.397
_cell_length_c 9.125
_cell_angle_alpha 89.97
_cell_angle_beta 76.48
_cell_angle_gamma 89.94
loop_
_space_group_symop_operation_xyz
'x,y,z'
'-x,-y,-z'
loop_
_atom_site_label
_atom_site_type_symbol
_atom_site_fract_x
_atom_site_fract_y
_atom_site_fract_z
La1 La 0.000 0.000 0.000
Pr1 Pr 0.000 0.500 0.000
Pr2 Pr 0.223 0.001 0.335
Pr3 Pr 0.280 0.251 0.664
Pr4 Pr 0.498 0.254 0.001
Y1 Y 0.218 0.500 0.335
Y2 Y 0.278 0.744 0.666
```



13.
Crystalline LaPr6Y2 at its relaxed geometry, computed with PBE.

Results
**Density of states at the Fermi level**: 1.81 states/eV/atom
**Calculated formation energy**: 119 meV per atom
**Polymorph energy (0 for the lowest one)**: 0 meV/atom

```
data_LaPr6Y2
_chemical_formula_sum 'La1 Pr6 Y2'
_space_group_name_H-M_alt 'P -3 1 m'
_space_group_IT_number 162
_space_group_name_Hall '-P 3 2'
_cell_length_a 10.2460
_cell_length_b 10.2460
_cell_length_c 3.5142
_cell_angle_alpha 90.00
_cell_angle_beta 90.00
_cell_angle_gamma 120.00
loop_
_atom_site_label
_atom_site_type_symbol
_atom_site_fract_x
_atom_site_fract_y
_atom_site_fract_z
La1 La 0.0000 0.0000 0.0000
Pr1 Pr 0.0000 0.3416 0.2240
Y1 Y 0.3333 0.6667 0.5000
```



14.
Crystalline La6Pr4Y at its relaxed geometry, computed with PBE.

Results
**Density of states at the Fermi level**: 1.77 states/eV/atom
**Calculated formation energy**: 250 meV per atom
**Polymorph energy (0 for the lowest one)**: 18 meV/atom

```
data_La6Pr4Y
_chemical_formula_sum 'La12 Pr8 Y2'
_space_group_name_H-M_alt 'I -4 2 m'
_space_group_IT_number 121
_space_group_name_Hall 'I -4 2'
_cell_length_a 7.038
_cell_length_b 7.038
_cell_length_c 16.496
_cell_angle_alpha 90.00
_cell_angle_beta 90.00
_cell_angle_gamma 90.00
loop_
_atom_site_label
_atom_site_type_symbol
_atom_site_fract_x
_atom_site_fract_y
_atom_site_fract_z
La1 La 0.000 0.500 0.000
La2 La 0.186 0.186 0.183
Pr1 Pr 0.167 0.167 0.392
Y1 Y 0.000 0.000 0.000
```



15.
Crystalline La6Pr7Y16 at its relaxed geometry, computed with PBE.

Results
**Density of states at the Fermi level**: 1.52 states/eV/atom
**Calculated formation energy**: 217 meV per atom

```
data_La6Pr7Y16
_chemical_formula_sum 'La24 Pr28 Y64'
_space_group_name_H-M_alt 'F m -3 m'
_space_group_IT_number 225
_space_group_name_Hall '-F 4 2 3'
_cell_length_a 16.226
_cell_length_b 16.226
_cell_length_c 16.226
_cell_angle_alpha 90.00
_cell_angle_beta 90.00
_cell_angle_gamma 90.00
loop_
_atom_site_label
_atom_site_type_symbol
_atom_site_fract_x
_atom_site_fract_y
_atom_site_fract_z
La1 La 0.000 0.000 0.250
Pr1 Pr 0.000 0.000 0.000
Pr2 Pr 0.000 0.250 0.250
Y1 Y 0.130 0.130 0.130
Y2 Y 0.153 0.153 0.347
```



16.
Crystalline La14PrY at its relaxed geometry, computed with PBE.

Results
**Density of states at the Fermi level**: 1.76 states/eV/atom
**Calculated formation energy**: 77 meV per atom

```
data_La14PrY
_chemical_formula_sum 'La28 Pr2 Y2'
_space_group_name_H-M_alt 'A m m 2'
_space_group_IT_number 38
_cell_length_a 11.962
_cell_length_b 11.691
_cell_length_c 8.317
_cell_angle_alpha 90.00
_cell_angle_beta 90.00
_cell_angle_gamma 90.00
loop_
_space_group_symop_operation_xyz
'x,y,z'
'-x,-y,z'
'-x,y,z'
'x,-y,z'
'x,y+1/2,z+1/2'
'-x,-y+1/2,z+1/2'
'-x,y+1/2,z+1/2'
'x,-y+1/2,z+1/2'
loop_
_atom_site_label
_atom_site_type_symbol
_atom_site_fract_x
_atom_site_fract_y
_atom_site_fract_z
La1 La 0.000 0.000 0.000
La2 La 0.000 0.000 0.432
La3 La 0.000 0.214 0.732
La4 La 0.247 0.214 0.018
La5 La 0.252 0.000 0.309
La6 La 0.255 0.000 0.741
La7 La 0.500 0.224 0.734
Pr1 Pr 0.500 0.000 0.458
Y1 Y 0.500 0.000 0.027
```



17.
Crystalline La4Pr5Y3 at its relaxed geometry, computed with PBE.

Results
**Density of states at the Fermi level**: 1.68 states/eV/atom
**Calculated formation energy**: 196 meV per atom

```
data_La4Pr5Y3
_chemical_formula_sum 'La8 Pr10 Y6'
_space_group_name_H-M_alt 'C 1 2/m 1'
_space_group_IT_number 12
_cell_length_a 16.698
_cell_length_b 6.098
_cell_length_c 9.622
_cell_angle_alpha 90.00
_cell_angle_beta 117.01
_cell_angle_gamma 90.00
loop_
_space_group_symop_operation_xyz
'x,y,z'
'-x,-y,-z'
'-x,y,-z'
'x,-y,z'
'x+1/2,y+1/2,z'
'-x+1/2,-y+1/2,-z'
'-x+1/2,y+1/2,-z'
'x+1/2,-y+1/2,z'
loop_
_atom_site_label
_atom_site_type_symbol
_atom_site_fract_x
_atom_site_fract_y
_atom_site_fract_z
La1 La 0.084 0.000 0.442
La2 La 0.218 0.000 0.877
Pr1 Pr 0.000 0.000 0.000
Pr2 Pr 0.074 0.500 0.703
Pr3 Pr 0.171 0.500 0.389
Y1 Y 0.000 0.500 0.000
Y2 Y 0.209 0.000 0.226
```



18.
Crystalline La2Pr5Y5 at its relaxed geometry, computed with PBE.

Results
**Density of states at the Fermi level**: 1.61 states/eV/atom
**Calculated formation energy**: 18 meV per atom
**Polymorph energy (0 for the lowest one)**: 0 meV/atom

```
data_La2Pr5Y5
_chemical_formula_sum 'La4 Pr10 Y10'
_space_group_name_H-M_alt 'C 1 2/m 1'
_space_group_IT_number 12
_cell_length_a 15.565
_cell_length_b 5.166
_cell_length_c 11.602
_cell_angle_alpha 90.00
_cell_angle_beta 116.73
_cell_angle_gamma 90.00
loop_
_space_group_symop_operation_xyz
'x,y,z'
'-x,-y,-z'
'-x,y,-z'
'x,-y,z'
'x+1/2,y+1/2,z'
'-x+1/2,-y+1/2,-z'
'-x+1/2,y+1/2,-z'
'x+1/2,-y+1/2,z'
loop_
_atom_site_label
_atom_site_type_symbol
_atom_site_fract_x
_atom_site_fract_y
_atom_site_fract_z
La1 La 0.083 0.000 0.251
Pr1 Pr 0.000 0.000 0.500
Pr2 Pr 0.166 0.000 0.000
Pr3 Pr 0.248 0.000 0.748
Y1 Y 0.000 0.500 0.000
Y2 Y 0.083 0.500 0.749
Y3 Y 0.167 0.500 0.501
```



19.
Crystalline La5PrY8 at its relaxed geometry, computed with PBE.

Results
**Density of states at the Fermi level**: 1.58 states/eV/atom
**Calculated formation energy**: 223 meV per atom

```
data_La5PrY8
_chemical_formula_sum 'La10 Pr2 Y16'
_space_group_name_H-M_alt 'I -4'
_space_group_IT_number 82
_cell_length_a 9.717
_cell_length_b 9.717
_cell_length_c 10.354
_cell_angle_alpha 90.00
_cell_angle_beta 90.00
_cell_angle_gamma 90.00
loop_
_space_group_symop_operation_xyz
'x,y,z'
'y,-x,-z'
'-x,-y,z'
'-y,x,-z'
'x+1/2,y+1/2,z+1/2'
'y+1/2,-x+1/2,-z+1/2'
'-x+1/2,-y+1/2,z+1/2'
'-y+1/2,x+1/2,-z+1/2'
loop_
_atom_site_label
_atom_site_type_symbol
_atom_site_fract_x
_atom_site_fract_y
_atom_site_fract_z
La1 La 0.000 0.000 0.000
La2 La 0.109 0.217 0.423
Pr1 Pr 0.000 0.500 0.750
Y1 Y 0.074 0.324 0.102
Y2 Y 0.082 0.175 0.756
```